Entry from the Alexandria database: crystalline Ho4TlIn2Hg at its relaxed geometry (GGA-PBE).

Properties
DOS at the Fermi energy (states/eV/cell): 7.2
E_form (kJ/mol of formula units): -325
Calculated total energy (eV for the cell shown): -29.83
Space-group type: R-3m

abc: 5.3024 5.3024 9.1724
angles: 73.20 73.20 60.00
With the nearest neighbours (Å) after each atom.
Element x y z (fractional)
Ho (0.3764, 0.3764, 0.8708)  1 Hg 3.21, 4 In 3.24-3.29, 3 Tl 3.26
Ho (0.8736, 0.8736, 0.3792)  4 In 3.20-3.26, 3 Hg 3.23, 1 Tl 3.28
Ho (0.1264, 0.1264, 0.6208)  4 In 3.20-3.26, 3 Hg 3.23, 1 Tl 3.28
Ho (0.6236, 0.6236, 0.1292)  1 Hg 3.21, 4 In 3.24-3.29, 3 Tl 3.26
Tl (0.0000, 0.0000, 0.0000)  8 Ho 3.26-3.28
In (0.7504, 0.7504, 0.7487)  8 Ho 3.20-3.29
In (0.2496, 0.2496, 0.2513)  8 Ho 3.20-3.29
Hg (0.5000, 0.5000, 0.5000)  8 Ho 3.21-3.23

---

Entry from the Alexandria database: crystalline Ac5Pb6 at its relaxed geometry (GGA-PBE).

Properties
DOS at the Fermi energy (states/eV/cell): 8.8
E_form (kJ/mol of formula units): -398
Excess energy over the best structure of this formula in the dataset (eV per formula unit): 1.03
Calculated total energy (eV for the cell shown): -46.92
Space-group type: C2/m

abc: 6.8384 8.4583 8.7640
angles: 79.47 63.11 66.16
With the nearest neighbours (Å) after each atom.
Element x y z (fractional)
Ac (0.5000, 0.0000, 0.5000)  6 Pb 3.45-3.64
Ac (0.3504, 0.2991, 0.0000)  6 Pb 3.49-3.56
Ac (0.6496, 0.7009, 0.0000)  6 Pb 3.49-3.56
Ac (0.2048, 0.5903, 0.5000)  6 Pb 3.42-3.56, 2 Ac 3.69
Ac (0.7952, 0.4097, 0.5000)  6 Pb 3.42-3.56, 2 Ac 3.69
Pb (0.8593, 0.0000, 0.7052)  3 Pb 3.22-3.38, 4 Ac 3.51-3.56
Pb (0.1407, 0.0000, 0.2948)  3 Pb 3.22-3.38, 4 Ac 3.51-3.56
Pb (0.2994, 0.7121, 0.8039)  2 Pb 3.12-3.38, 3 Ac 3.42-3.49
Pb (0.9886, 0.7121, 0.1961)  2 Pb 3.12-3.38, 3 Ac 3.42-3.49
Pb (0.7006, 0.2879, 0.1961)  2 Pb 3.12-3.38, 3 Ac 3.42-3.49
Pb (0.0114, 0.2879, 0.8039)  2 Pb 3.12-3.38, 3 Ac 3.42-3.49

---

Entry from the Alexandria database: crystalline Mg3AsN at its relaxed geometry (GGA-PBE).

Properties
DOS at the Fermi energy (states/eV/cell): 0.0
Calculated total energy (eV for the cell shown): -41.07
E_form (uncorrected) (kcal/mol of atoms): -12.80
Space-group type: P6_3/mmc

abc: 4.0004 4.0004 13.0062
angles: 90.00 90.00 120.00
With the nearest neighbours (Å) after each atom.
Element x y z (fractional)
As (0.0000, 0.0000, 0.0000)  6 Mg 2.62
As (0.0000, 0.0000, 0.5000)  6 Mg 2.62
Mg (0.0000, 0.0000, 0.2500)  3 N 2.31
Mg (0.0000, 0.0000, 0.7500)  3 N 2.31
Mg (0.3333, 0.6667, 0.9055)  1 N 2.02
Mg (0.3333, 0.6667, 0.5945)  1 N 2.02
Mg (0.6667, 0.3333, 0.4055)  1 N 2.02
Mg (0.6667, 0.3333, 0.0945)  1 N 2.02
N (0.3333, 0.6667, 0.7500)  2 Mg 2.02
N (0.6667, 0.3333, 0.2500)  2 Mg 2.02

---

Entry from the Alexandria database: crystalline La5PaN8 at its relaxed geometry (GGA-PBE).

Properties
Calculated total energy (eV for the cell shown): -116.33
E_form (uncorrected) (kcal/mol of atoms): -25.68
Space-group type: I-4

abc: 6.6108 6.6108 6.6108
angles: 109.13 110.16 109.13
With the nearest neighbours (Å) after each atom.
Element x y z (fractional)
La (0.9829, 0.3511, 0.0944)  5 N 2.47-2.72
La (0.9056, 0.8885, 0.2567)  5 N 2.47-2.72
La (0.7433, 0.6489, 0.6318)  5 N 2.47-2.72
La (0.5000, 0.0000, 0.5000)  4 N 2.61
La (0.3682, 0.1115, 0.0171)  5 N 2.47-2.72
Pa (0.2500, 0.5000, 0.7500)  8 N 2.38-2.46
N (0.1426, 0.7235, 0.0365)  1 Pa 2.46, 4 La 2.55-2.72
N (0.9635, 0.1061, 0.6870)  1 Pa 2.46, 4 La 2.55-2.72
N (0.8629, 0.3713, 0.4123)  1 N 1.49
N (0.5877, 0.4506, 0.9590)  1 N 1.49
N (0.5084, 0.5494, 0.1371)  1 N 1.49
N (0.5809, 0.8939, 0.8574)  1 Pa 2.46, 4 La 2.55-2.72
N (0.3130, 0.2765, 0.4191)  1 Pa 2.46, 4 La 2.55-2.72
N (0.0410, 0.6287, 0.4916)  1 N 1.49

---

Entry from the Alexandria database: crystalline Rb8O5 at its relaxed geometry (GGA-PBE).

Properties
DOS at the Fermi energy (states/eV/cell): 21.7
Calculated total energy (eV for the cell shown): -43.87
E_form (uncorrected) (kcal/mol of atoms): -20.12
Space-group type: C2/m

abc: 8.4300 8.4300 7.7657
angles: 104.37 107.45 119.68
With the nearest neighbours (Å) after each atom.
Element x y z (fractional)
Rb (0.3113, 0.0127, 0.3240)  4 O 2.78-2.98
Rb (0.6887, 0.9873, 0.6760)  4 O 2.78-2.98
Rb (0.8043, 0.4688, 0.2731)  3 O 2.65-2.77
Rb (0.1957, 0.5312, 0.7269)  3 O 2.65-2.77
Rb (0.8363, 0.9976, 0.2777)  4 O 2.81-2.91
Rb (0.7200, 0.5587, 0.7223)  4 O 2.81-2.91
Rb (0.2800, 0.4413, 0.2777)  4 O 2.81-2.91
Rb (0.1637, 0.0024, 0.7223)  4 O 2.81-2.91
O (0.0000, 0.0000, 0.0000)  6 Rb 2.89-2.98
O (0.7593, 0.2593, 0.5000)  6 Rb 2.77-2.91
O (0.2407, 0.7407, 0.5000)  6 Rb 2.77-2.91
O (0.7161, 0.7125, 0.4286)  6 Rb 2.65-2.89
O (0.2839, 0.2875, 0.5714)  6 Rb 2.65-2.89

---

Entry from the Alexandria database: crystalline KHgTe at its relaxed geometry (GGA-PBE).

Properties
DOS at the Fermi energy (states/eV/cell): 2.5
Excess energy over the best structure of this formula in the dataset (eV per formula unit): 0.00
Calculated total energy (eV for the cell shown): -23.79
E_form (uncorrected) (kcal/mol of atoms): -10.81
Space-group type: Fddd

abc: 7.9473 7.9473 10.0550
angles: 108.11 108.11 102.33
With the nearest neighbours (Å) after each atom.
Element x y z (fractional)
K (0.6460, 0.6460, 0.2919)  4 Te 3.59-3.68
K (0.3540, 0.3540, 0.7081)  4 Te 3.59-3.68
K (0.6040, 0.1040, 0.2081)  4 Te 3.59-3.68
K (0.8960, 0.3960, 0.7919)  4 Te 3.59-3.68
Te (0.0164, 0.5164, 0.5000)  2 Hg 2.89
Te (0.7664, 0.7664, 0.0000)  2 Hg 2.89
Te (0.4836, 0.9836, 0.5000)  2 Hg 2.89
Te (0.2336, 0.2336, 0.0000)  2 Hg 2.89
Hg (0.1250, 0.3750, 0.2500)  2 Te 2.89
Hg (0.1250, 0.8750, 0.7500)  2 Te 2.89
Hg (0.1250, 0.8750, 0.2500)  2 Te 2.89
Hg (0.6250, 0.8750, 0.7500)  2 Te 2.89

---

Entry from the Alexandria database: crystalline SrRe2Ir at its relaxed geometry (GGA-PBE).

Properties
DOS at the Fermi energy (states/eV/cell): 4.1
E_form (kJ/mol of formula units): 300
Excess energy over the best structure of this formula in the dataset (eV per formula unit): 1.34
Calculated total energy (eV for the cell shown): -32.33
Space-group type: Imm2

abc: 5.7197 5.7197 5.7197
angles: 149.02 126.69 62.94
With the nearest neighbours (Å) after each atom.
Element x y z (fractional)
Ir (0.2143, 0.7143, 0.5000)  2 Re 2.66
Re (0.9915, 0.9915, 0.0000)  2 Re 2.45, 2 Ir 2.66
Re (0.7947, 0.2947, 0.5000)  2 Re 2.45
Sr (0.4994, 0.4994, 0.0000)  8 Re 2.99-3.26, 2 Sr 3.06, 4 Ir 3.17-3.31

---

Entry from the Alexandria database: crystalline Nd7SmHo4 at its relaxed geometry (GGA-PBE).

Properties
DOS at the Fermi energy (states/eV/cell): 15.3
E_form (kJ/mol of formula units): 4
Excess energy over the best structure of this formula in the dataset (eV per formula unit): 0.00
Calculated total energy (eV for the cell shown): -56.36
Space-group type: P-1

abc: 7.3068 6.3325 11.5944
angles: 79.56 50.96 90.03
With the nearest neighbours (Å) after each atom.
Element x y z (fractional)
Nd (0.7451, 0.5004, 0.0019)  3 Ho 3.59-3.62, 7 Nd 3.61-3.70, 2 Sm 3.66-3.67
Nd (0.2549, 0.4996, 0.9981)  3 Ho 3.59-3.62, 7 Nd 3.61-3.70, 2 Sm 3.66-3.67
Nd (0.0838, 0.2800, 0.6647)  6 Ho 3.57-3.69, 5 Nd 3.59-3.67, 1 Sm 3.62
Nd (0.9162, 0.7200, 0.3353)  6 Ho 3.57-3.69, 5 Nd 3.59-3.67, 1 Sm 3.62
Nd (0.3346, 0.7777, 0.6655)  6 Nd 3.59-3.67, 5 Ho 3.60-3.67, 1 Sm 3.61
Nd (0.5000, 0.0000, 0.0000)  4 Ho 3.59-3.61, 6 Nd 3.61-3.65, 2 Sm 3.65
Nd (0.6654, 0.2223, 0.3345)  6 Nd 3.59-3.67, 5 Ho 3.60-3.67, 1 Sm 3.61
Sm (0.0000, 0.0000, 0.0000)  10 Nd 3.61-3.67, 2 Ho 3.62
Ho (0.4127, 0.7222, 0.3336)  3 Ho 3.58-3.65, 8 Nd 3.58-3.69, 1 Sm 3.62
Ho (0.5873, 0.2778, 0.6664)  3 Ho 3.58-3.65, 8 Nd 3.58-3.69, 1 Sm 3.62
Ho (0.8354, 0.7808, 0.6645)  4 Ho 3.56-3.65, 8 Nd 3.57-3.65
Ho (0.1646, 0.2192, 0.3355)  4 Ho 3.56-3.65, 8 Nd 3.57-3.65